The following is a DFT calculation (PBE) of Ba2ZrTe after structural relaxation.

- E_form (uncorrected) (meV/atom) = -106
- SG = R-3m
- VASP energy (eV/cell) = -15.96
- DOS at the Fermi energy (states/eV/f.u.) = 5.09

abc: 10.590 10.590 10.590
angles: 24.17 24.17 24.17
Fractional coordinates of all 4 atoms:
Ba  0.510  0.510  0.510
Ba  0.990  0.990  0.990
Zr  0.750  0.750  0.750
Te  0.250  0.250  0.250